1.
Compound: ZrCd3In
Source: the Alexandria database
Functional: GGA-PBE
Structure: relaxed

Unit cell a=5.2355 b=5.2355 c=5.2355 alpha=90.00 beta=90.00 gamma=90.00
Atoms (fractional coordinates):
Zr (0.0000, 0.0000, 0.0000)
Cd (0.0000, 0.5000, 0.5000)
Cd (0.5000, 0.0000, 0.5000)
Cd (0.5000, 0.5000, 0.0000)
In (0.5000, 0.5000, 0.5000)

Results
* density of states at the Fermi level: 3.059 states/eV/cell
* distance to the lowest polymorph of the same formula: 0.256 eV/f.u.


2.
Compound: Ta2CrPb
Source: the Alexandria database
Functional: GGA-PBE
Structure: relaxed

Unit cell a=10.6555 b=10.6555 c=10.6555 alpha=158.58 beta=158.58 gamma=30.47
Atoms (fractional coordinates):
Ta (0.1200, 0.6250, 0.9950)
Ta (0.3750, 0.3700, 0.4950)
Ta (0.6300, 0.1250, 0.0050)
Ta (0.8750, 0.8800, 0.5050)
Cr (0.0000, 0.0000, 0.0000)
Cr (0.7500, 0.2500, 0.5000)
Pb (0.2500, 0.7500, 0.5000)
Pb (0.5000, 0.5000, 0.0000)

Results
* density of states at the Fermi level: 7.787 states/eV/cell
* E: -8.360 eV/atom


3.
Compound: ZnNi3B
Source: the Alexandria database
Functional: GGA-PBE
Structure: relaxed

Unit cell a=5.3325 b=5.3325 c=4.3434 alpha=90.00 beta=90.00 gamma=120.00
Atoms (fractional coordinates):
Zn (0.3333, 0.6667, 0.2500)
Zn (0.6667, 0.3333, 0.7500)
Ni (0.1769, 0.3538, 0.7500)
Ni (0.1769, 0.8231, 0.7500)
Ni (0.3538, 0.1769, 0.2500)
Ni (0.6462, 0.8231, 0.7500)
Ni (0.8231, 0.1769, 0.2500)
Ni (0.8231, 0.6462, 0.2500)
B (0.0000, 0.0000, 0.0000)
B (0.0000, 0.0000, 0.5000)

Results
* density of states at the Fermi level: 5.866 states/eV/cell
* distance to the lowest polymorph of the same formula: 0.077 eV/f.u.


4.
Compound: KPrH6Pd2
Source: the Alexandria database
Functional: GGA-PBE
Structure: relaxed

Unit cell a=6.3747 b=6.3747 c=6.7171 alpha=92.31 beta=92.31 gamma=85.70
Atoms (fractional coordinates):
K (0.1342, 0.8658, 0.7500)
K (0.8658, 0.1342, 0.2500)
Pr (0.3647, 0.6353, 0.2500)
Pr (0.6353, 0.3647, 0.7500)
H (0.0396, 0.7835, 0.1153)
H (0.2165, 0.9604, 0.3847)
H (0.2571, 0.2749, 0.6445)
H (0.2749, 0.2571, 0.1445)
H (0.3492, 0.5398, 0.9030)
H (0.4602, 0.6508, 0.5970)
H (0.5398, 0.3492, 0.4030)
H (0.6508, 0.4602, 0.0970)
H (0.7251, 0.7429, 0.8555)
H (0.7429, 0.7251, 0.3555)
H (0.7835, 0.0396, 0.6153)
H (0.9604, 0.2165, 0.8847)
Pd (0.1696, 0.3593, 0.8968)
Pd (0.3593, 0.1696, 0.3968)
Pd (0.6407, 0.8304, 0.6032)
Pd (0.8304, 0.6407, 0.1032)

Results
* density of states at the Fermi level: 2.422 states/eV/cell
* E: -3.920 eV/atom


5.
Compound: Sc2AlB
Source: the Alexandria database
Functional: GGA-PBE
Structure: relaxed

Unit cell a=9.4506 b=9.4506 c=9.4506 alpha=19.44 beta=19.44 gamma=19.44
Atoms (fractional coordinates):
Sc (0.0853, 0.0853, 0.0853)
Sc (0.9147, 0.9147, 0.9147)
Al (0.5000, 0.5000, 0.5000)
B (0.0000, 0.0000, 0.0000)

Results
* density of states at the Fermi level: 3.154 states/eV/cell
* distance to the lowest polymorph of the same formula: 2.776 eV/f.u.


6.
Compound: Ce2CuGe4Ir3
Source: the Alexandria database
Functional: GGA-PBE
Structure: relaxed

Unit cell a=4.2778 b=4.2778 c=10.0706 alpha=90.00 beta=90.00 gamma=90.00
Atoms (fractional coordinates):
Ce (0.0000, 0.5000, 0.2469)
Ce (0.5000, 0.0000, 0.7531)
Cu (0.0000, 0.0000, 0.5000)
Ge (0.0000, 0.0000, 0.0000)
Ge (0.0000, 0.5000, 0.6297)
Ge (0.5000, 0.0000, 0.3703)
Ge (0.5000, 0.5000, 0.0000)
Ir (0.0000, 0.5000, 0.8720)
Ir (0.5000, 0.0000, 0.1280)
Ir (0.5000, 0.5000, 0.5000)

Results
* density of states at the Fermi level: 9.626 states/eV/cell
* E: -6.779 eV/atom


7.
Compound: CdGa2Co2
Source: the Alexandria database
Functional: GGA-PBE
Structure: relaxed

Unit cell a=7.0278 b=7.0278 c=2.8472 alpha=90.00 beta=90.00 gamma=90.00
Atoms (fractional coordinates):
Cd (0.0000, 0.0000, 0.0000)
Cd (0.5000, 0.5000, 0.0000)
Ga (0.1521, 0.3479, 0.5000)
Ga (0.3479, 0.8479, 0.5000)
Ga (0.6521, 0.1521, 0.5000)
Ga (0.8479, 0.6521, 0.5000)
Co (0.1417, 0.6417, 0.0000)
Co (0.3583, 0.1417, 0.0000)
Co (0.6417, 0.8583, 0.0000)
Co (0.8583, 0.3583, 0.0000)

Results
* density of states at the Fermi level: 6.816 states/eV/cell
* distance to the lowest polymorph of the same formula: 0.000 eV/f.u.


8.
Compound: Pr3Tc2Ge7
Source: the Alexandria database
Functional: GGA-PBE
Structure: relaxed

Unit cell a=4.4644 b=4.4223 c=13.2772 alpha=90.00 beta=99.57 gamma=90.00
Atoms (fractional coordinates):
Pr (0.0000, 0.0000, 0.0000)
Pr (0.3169, 0.5000, 0.6308)
Pr (0.6831, 0.5000, 0.3692)
Tc (0.1255, 0.0000, 0.2529)
Tc (0.8745, 0.0000, 0.7471)
Ge (0.0868, 0.5000, 0.1745)
Ge (0.2192, 0.0000, 0.4402)
Ge (0.4124, 0.0000, 0.8238)
Ge (0.5000, 0.5000, 0.0000)
Ge (0.5876, 0.0000, 0.1762)
Ge (0.7808, 0.0000, 0.5598)
Ge (0.9132, 0.5000, 0.8255)

Results
* density of states at the Fermi level: 6.576 states/eV/cell
* E: -6.134 eV/atom


9.
Compound: CsBe3Fe
Source: the Alexandria database
Functional: GGA-PBE
Structure: relaxed

Unit cell a=4.9565 b=4.9565 c=4.9565 alpha=90.00 beta=90.00 gamma=90.00
Atoms (fractional coordinates):
Cs (0.0000, 0.0000, 0.0000)
Be (0.0000, 0.0000, 0.5000)
Be (0.0000, 0.5000, 0.0000)
Be (0.5000, 0.0000, 0.0000)
Fe (0.5000, 0.5000, 0.5000)

Results
* density of states at the Fermi level: 4.653 states/eV/cell
* distance to the lowest polymorph of the same formula: 8.880 eV/f.u.


10.
Compound: CePm2Th
Source: the Alexandria database
Functional: GGA-PBE
Structure: relaxed

Unit cell a=12.6172 b=12.6172 c=12.6172 alpha=15.84 beta=15.84 gamma=15.84
Atoms (fractional coordinates):
Ce (0.0000, 0.0000, 0.0000)
Pm (0.4088, 0.4088, 0.4088)
Pm (0.5912, 0.5912, 0.5912)
Th (0.5000, 0.5000, 0.5000)

Results
* density of states at the Fermi level: 6.065 states/eV/cell
* distance to the lowest polymorph of the same formula: 0.501 eV/f.u.


11.
Compound: Li3YPt
Source: the Alexandria database
Functional: GGA-PBE
Structure: relaxed

Unit cell a=4.6600 b=4.6600 c=4.6600 alpha=90.00 beta=90.00 gamma=90.00
Atoms (fractional coordinates):
Li (0.0000, 0.0000, 0.5000)
Li (0.0000, 0.5000, 0.0000)
Li (0.5000, 0.0000, 0.0000)
Y (0.5000, 0.5000, 0.5000)
Pt (0.0000, 0.0000, 0.0000)

Results
* density of states at the Fermi level: 2.919 states/eV/cell
* distance to the lowest polymorph of the same formula: 0.000 eV/f.u.


12.
Compound: BaErO2F
Source: the Alexandria database
Functional: GGA-PBE
Structure: relaxed

Unit cell a=4.4056 b=4.4056 c=4.5267 alpha=90.00 beta=90.00 gamma=90.00
Atoms (fractional coordinates):
Ba (0.0000, 0.0000, 0.0000)
Er (0.5000, 0.5000, 0.4096)
O (0.0000, 0.5000, 0.3446)
O (0.5000, 0.0000, 0.3446)
F (0.5000, 0.5000, 0.8938)

Results
* density of states at the Fermi level: 0.000 states/eV/cell
* energy relative to the elements, uncorrected: -16.9 eV/f.u.


13.
Compound: HoZnInHg
Source: the Alexandria database
Functional: GGA-PBE
Structure: relaxed

Unit cell a=5.0215 b=5.0215 c=5.0215 alpha=60.00 beta=60.00 gamma=60.00
Atoms (fractional coordinates):
Ho (0.0000, 0.0000, 0.0000)
Zn (0.2500, 0.2500, 0.2500)
In (0.5000, 0.5000, 0.5000)
Hg (0.7500, 0.7500, 0.7500)

Results
* density of states at the Fermi level: 0.715 states/eV/cell
* E: -2.508 eV/atom


14.
Compound: ThAl2Zn2
Source: the Alexandria database
Functional: GGA-PBE
Structure: relaxed

Unit cell a=4.2901 b=4.2901 c=6.8382 alpha=90.00 beta=90.00 gamma=120.00
Atoms (fractional coordinates):
Th (0.0000, 0.0000, 0.0000)
Al (0.3333, 0.6667, 0.6452)
Al (0.6667, 0.3333, 0.3548)
Zn (0.3333, 0.6667, 0.2661)
Zn (0.6667, 0.3333, 0.7339)

Results
* density of states at the Fermi level: 3.191 states/eV/cell
* E: -3.566 eV/atom


15.
Compound: K2InSnBi
Source: the Alexandria database
Functional: GGA-PBE
Structure: relaxed

Unit cell a=6.6550 b=6.6550 c=5.9290 alpha=90.00 beta=90.00 gamma=90.00
Atoms (fractional coordinates):
K (0.0000, 0.5000, 0.0000)
K (0.5000, 0.0000, 0.0000)
In (0.0000, 0.0000, 0.5000)
Sn (0.5000, 0.5000, 0.5000)
Bi (0.5000, 0.5000, 0.0000)

Results
* density of states at the Fermi level: 5.087 states/eV/cell
* E: -2.336 eV/atom


16.
Compound: PaGeAu2
Source: the Alexandria database
Functional: GGA-PBE
Structure: relaxed

Unit cell a=3.5378 b=3.5378 c=6.7166 alpha=90.00 beta=90.00 gamma=90.00
Atoms (fractional coordinates):
Pa (0.0000, 0.0000, 0.0000)
Ge (0.0000, 0.0000, 0.5000)
Au (0.5000, 0.5000, 0.2659)
Au (0.5000, 0.5000, 0.7341)

Results
* density of states at the Fermi level: 3.940 states/eV/cell
* distance to the lowest polymorph of the same formula: 0.552 eV/f.u.


17.
Compound: Sr2CaCu
Source: the Alexandria database
Functional: GGA-PBE
Structure: relaxed

Unit cell a=7.3047 b=7.3047 c=6.0591 alpha=114.45 beta=114.45 gamma=30.85
Atoms (fractional coordinates):
Sr (0.0000, 0.0000, 0.0000)
Sr (0.1887, 0.1887, 0.6888)
Ca (0.8168, 0.8168, 0.3166)
Cu (0.4938, 0.4938, 0.4918)

Results
* density of states at the Fermi level: 3.553 states/eV/cell
* distance to the lowest polymorph of the same formula: 0.257 eV/f.u.


18.
Compound: Li4CeSn4
Source: the Alexandria database
Functional: GGA-PBE
Structure: relaxed

Unit cell a=6.5854 b=6.5854 c=9.4704 alpha=90.00 beta=90.00 gamma=90.00
Atoms (fractional coordinates):
Li (0.0203, 0.2500, 0.1675)
Li (0.2500, 0.0203, 0.6675)
Li (0.2500, 0.4797, 0.6675)
Li (0.4797, 0.2500, 0.1675)
Li (0.5203, 0.7500, 0.8325)
Li (0.7500, 0.5203, 0.3325)
Li (0.7500, 0.9797, 0.3325)
Li (0.9797, 0.7500, 0.8325)
Ce (0.2500, 0.7500, 0.2500)
Ce (0.7500, 0.2500, 0.7500)
Sn (0.0299, 0.2500, 0.4621)
Sn (0.2500, 0.0299, 0.9621)
Sn (0.2500, 0.4701, 0.9621)
Sn (0.4701, 0.2500, 0.4621)
Sn (0.5299, 0.7500, 0.5379)
Sn (0.7500, 0.5299, 0.0379)
Sn (0.7500, 0.9701, 0.0379)
Sn (0.9701, 0.7500, 0.5379)

Results
* density of states at the Fermi level: 16.813 states/eV/cell
* E: -3.629 eV/atom


19.
Compound: Dy4Mn
Source: the Alexandria database
Functional: GGA-PBE
Structure: relaxed

Unit cell a=5.2883 b=5.2883 c=5.2883 alpha=90.00 beta=90.00 gamma=90.00
Atoms (fractional coordinates):
Dy (0.0000, 0.0000, 0.0000)
Dy (0.0000, 0.5000, 0.5000)
Dy (0.5000, 0.0000, 0.5000)
Dy (0.5000, 0.5000, 0.0000)
Mn (0.5000, 0.5000, 0.5000)

Results
* density of states at the Fermi level: 8.223 states/eV/cell
* distance to the lowest polymorph of the same formula: 0.000 eV/f.u.


20.
Compound: Pr3BiOs
Source: the Alexandria database
Functional: GGA-PBE
Structure: relaxed

Unit cell a=5.5663 b=5.5663 c=5.5663 alpha=90.00 beta=90.00 gamma=90.00
Atoms (fractional coordinates):
Pr (0.0000, 0.0000, 0.5000)
Pr (0.0000, 0.5000, 0.0000)
Pr (0.5000, 0.0000, 0.0000)
Bi (0.5000, 0.5000, 0.5000)
Os (0.0000, 0.0000, 0.0000)

Results
* density of states at the Fermi level: 4.893 states/eV/cell
* E: -6.063 eV/atom